{
  "formula": "RbYO2F",
  "functional": "PBE-GGA",
  "state": "relaxed",
  "lattice": [[-2.0909, 0.8650, 4.0230], [-2.5031, -3.8490, -0.4734], [3.2076, -2.3532, 2.1731]],
  "species": ["F", "Y", "Rb", "O", "O"],
  "frac_coords": [[0.0000, 0.0000, 0.5000], [0.5000, 0.5000, 0.5000], [0.0000, 0.0000, 0.0000], [0.5000, 0.0000, 0.0000], [0.0000, 0.5000, 0.0000]],
  "formation_energy_uncorrected_ev_per_atom": -0.773
}

{
  "formula": "Li2Ca4Ga",
  "functional": "PBE-GGA",
  "state": "relaxed",
  "lattice": [[-2.7082, 0.2985, 4.6055], [-4.1742, -3.2348, 0.8638], [3.0572, -6.9408, 5.3562]],
  "species": ["Ga", "Ca", "Ca", "Ca", "Ca", "Li", "Li"],
  "frac_coords": [[0.0000, 0.0000, 0.0000], [0.1246, 0.1246, 0.6262], [0.8754, 0.8754, 0.3738], [0.6248, 0.6248, 0.1256], [0.3752, 0.3752, 0.8744], [0.2565, 0.2565, 0.2304], [0.7435, 0.7435, 0.7696]],
  "formation_energy_ev_per_fu": -0.42
}

{
  "formula": "Li2CuAg",
  "functional": "PBE-GGA",
  "state": "relaxed",
  "lattice": [[4.7627, 0.0216, -0.0149], [1.5626, 4.4992, 0.0149], [-3.1495, -2.2788, 2.7517]],
  "species": ["Li", "Li", "Ag", "Cu"],
  "frac_coords": [[0.0001, 0.0001, 0.0000], [0.7501, 0.2501, 0.5000], [0.4999, 0.4999, 0.0000], [0.2500, 0.7500, 0.5000]],
  "formation_energy_ev_per_fu": -0.44
}

{
  "formula": "Pm2MgTc",
  "functional": "PBE-GGA",
  "state": "relaxed",
  "lattice": [[5.1554, 0.0000, 0.0000], [2.5777, 4.4647, 0.0000], [2.5777, 1.4882, 4.2093]],
  "species": ["Tc", "Pm", "Pm", "Mg"],
  "frac_coords": [[0.0000, 0.0000, 0.0000], [0.2500, 0.2500, 0.2500], [0.7500, 0.7500, 0.7500], [0.5000, 0.5000, 0.5000]],
  "formation_energy_ev_per_fu": 0.31
}

| no. | V (Å³ per cell) | VASP energy (eV/atom) | calculated density (g cm⁻³) |
| --- | --- | --- | --- |
| 1 | 96.58 | -4.617 | 3.875 |
| 2 | 217.13 | -2.183 | 1.865 |
| 3 | 58.87 | -2.804 | 5.226 |
| 4 | 96.89 | -5.287 | 7.066 |